## Li4MnCo2NiO8 (GGA+U)

Data for a relaxed structure of Li4MnCo2NiO8.

Lattice parameters (Å, degrees): 5.0553 5.0553 10.0679 99.33 99.33 33.08
With the nearest neighbours (Å) after each atom.
Positions (direct):
1 Li 0.0000 0.0000 0.0000  6 O 2.07-2.17
2 Li 0.4971 0.4971 0.7182  3 O 2.00-2.02
3 Li 0.5013 0.5013 0.2471  6 O 1.99-2.19
4 Li 0.9956 0.9956 0.4810  5 O 2.04-2.17
5 Mn 0.2489 0.2489 0.8674  6 O 1.88-1.99
6 Co 0.2509 0.2509 0.3616  6 O 1.94-1.97
7 Co 0.7508 0.7508 0.1178  6 O 1.90-1.97
8 Ni 0.7507 0.7507 0.6086  6 O 2.03-2.18
9 O 0.1353 0.1353 0.6962  1 Mn 1.88, 2 Li 2.00, 2 Ni 2.11
10 O 0.1431 0.1431 0.1773  3 Co 1.93-1.97, 1 Li 2.07
11 O 0.3598 0.3598 0.0526  2 Co 1.96, 1 Mn 1.99, 3 Li 2.11-2.19
12 O 0.3679 0.3679 0.5384  1 Co 1.94, 3 Li 2.02-2.04, 2 Ni 2.03
13 O 0.6390 0.6390 0.4177  2 Co 1.94, 3 Li 1.99-2.17, 1 Ni 2.04
14 O 0.6413 0.6413 0.9343  2 Mn 1.96, 1 Co 1.97, 2 Li 2.17
15 O 0.8576 0.8576 0.2943  3 Co 1.90-1.96, 3 Li 2.11-2.12
16 O 0.8631 0.8631 0.8158  2 Mn 1.94, 1 Li 2.09

Computed properties:
VASP energy, eV per atom: -5.7376
SG: Cm (8)